[1]
This record from Alexandria via LeMat-Bulk describes a relaxed structure of TbPr12Er2. The functional is PBE-GGA.

```
30
Lattice="3.6240 -5.8628 0.0000 3.6240 5.8628 0.0000 0.0000 0.0000 25.1865" Properties=species:S:1:pos:R:3 pbc="T T T"
Tb 3.6240 2.9314 25.1619
Tb 3.6240 -2.9314 0.0247
Pr 1.8226 2.9314 21.8913
Pr 3.6240 5.8383 1.8394
Pr 1.9530 2.9314 10.4324
Pr 3.6240 5.5821 14.1129
Pr 1.8120 0.0000 4.9968
Pr 1.8120 0.0000 8.1543
Pr 1.8120 0.0000 17.0323
Pr 1.8120 0.0000 20.1898
Pr 3.6240 0.2807 14.1129
Pr 5.2950 2.9314 10.4324
Pr 3.6240 0.0245 1.8394
Pr 5.4253 2.9314 21.8913
Pr 1.8226 -2.9314 3.2952
Pr 3.6240 -0.0245 23.3471
Pr 1.9530 -2.9314 14.7541
Pr 3.6240 -0.2807 11.0736
Pr 5.4360 0.0000 4.9968
Pr 5.4360 0.0000 8.1543
Pr 5.4360 0.0000 17.0323
Pr 5.4360 0.0000 20.1898
Pr 3.6240 -5.5821 11.0736
Pr 5.2950 -2.9314 14.7541
Pr 3.6240 -5.8383 23.3471
Pr 5.4253 -2.9314 3.2952
Er 3.6240 2.9314 6.7273
Er 3.6240 2.9314 18.3760
Er 3.6240 -2.9314 6.8105
Er 3.6240 -2.9314 18.4593
```

Calculated values
Mass density (g cm⁻³): 6.8
Size of the total moment (Bohr magnetons per cell): 0.0
Energy of formation from the pure elements (eV per formula unit): 2.3
Symmetry: Cmme, No. 67


[2]
This record from Alexandria via LeMat-Bulk describes a relaxed structure of Tb2Pr2Er15. The functional is PBE-GGA.

```
19
Lattice="5.6137 3.2411 5.7671 -5.6137 3.2411 5.7671 0.0000 -6.4821 5.7671" Properties=species:S:1:pos:R:3 pbc="T T T"
Tb 0.0000 0.0000 1.7545
Tb 0.0000 0.0000 15.5469
Pr 0.0000 0.0000 5.7251
Pr 0.0000 0.0000 11.5764
Er -5.6137 0.0000 8.6507
Er -1.6808 -3.5709 5.7671
Er -2.8068 1.6205 2.8836
Er -3.9329 0.3298 5.7671
Er -2.7292 -1.5757 8.1878
Er 1.6808 -3.5709 5.7671
Er -2.2520 3.2411 5.7671
Er 0.0000 -3.1514 9.1136
Er -2.7292 1.5757 9.1136
Er 2.8068 1.6205 2.8836
Er 2.7292 -1.5757 8.1878
Er 0.0000 3.1514 8.1878
Er 3.9329 0.3298 5.7671
Er 2.2520 3.2411 5.7671
Er 2.7292 1.5757 9.1136
```

Calculated values
Mass density (g cm⁻³): 8.2
Size of the total moment (Bohr magnetons per cell): 0.4
Energy of formation from the pure elements (eV per formula unit): 5.3
Symmetry: R-3m, No. 166


[3]
This record from Alexandria via LeMat-Bulk describes a relaxed structure of Tb5Pr2Er4. The functional is PBE-GGA.

```
11
Lattice="11.6976 -1.7858 0.0000 11.6976 1.7858 0.0000 -2.1883 0.0000 8.4616" Properties=species:S:1:pos:R:3 pbc="T T T"
Tb 0.0000 0.0000 0.0000
Tb 5.9638 0.0000 1.5591
Tb 6.5136 0.0000 7.6702
Tb 14.6933 0.0000 0.7915
Tb 15.2430 0.0000 6.9026
Pr 0.5294 0.0000 6.1436
Pr 20.6774 0.0000 2.3181
Er 3.2726 0.0000 3.8371
Er 9.1991 0.0000 5.4015
Er 12.0077 0.0000 3.0601
Er 17.9342 0.0000 4.6245
```

Calculated values
Relative energy among the computed polymorphs (meV per atom): 0
Mass density (g cm⁻³): 8.2
Size of the total moment (Bohr magnetons per cell): 0.0
Energy of formation from the pure elements (eV per formula unit): 0.2
Symmetry: C2/m, No. 12


[4]
This record from Alexandria via LeMat-Bulk describes a relaxed structure of Tb2Pr3Er5. The functional is PBE-GGA.

```
20
Lattice="5.3286 -8.0603 0.0000 5.3286 8.0603 0.0000 -5.3233 0.0000 7.7282" Properties=species:S:1:pos:R:3 pbc="T T T"
Tb 1.3512 1.8872 0.3629
Tb -1.3105 -1.8872 4.2270
Tb 6.6444 1.8872 3.5012
Tb 3.9827 -1.8872 7.3653
Pr 1.3615 1.9995 3.5054
Pr 3.9978 3.7872 1.9320
Pr -1.3002 -1.9995 7.3695
Pr 6.6341 1.9995 0.3586
Pr 1.3361 -3.7872 5.7961
Pr 3.9724 -1.9995 4.2227
Er 1.3361 7.5970 5.7961
Er -1.3291 1.7994 5.6700
Er 1.3361 4.3928 5.7961
Er 1.3325 -1.7994 1.8059
Er 3.9978 0.4233 1.9320
Er 1.3361 -0.4233 5.7961
Er 4.0014 1.7994 5.9222
Er 3.9978 -4.3928 1.9320
Er 6.6630 -1.7994 2.0581
Er 3.9978 -7.5970 1.9320
```

Calculated values
Mass density (g cm⁻³): 7.9
Size of the total moment (Bohr magnetons per cell): 0.0
Energy of formation from the pure elements (eV per formula unit): 1.9
Symmetry: C2/c, No. 15


[5]
This record from Alexandria via LeMat-Bulk describes a relaxed structure of Tb12PrEr7. The functional is PBE-GGA.

```
20
Lattice="5.9785 3.4517 5.3094 -5.9785 3.4517 5.3094 0.0000 -6.9033 5.3094" Properties=species:S:1:pos:R:3 pbc="T T T"
Tb -1.4491 -1.4179 4.6648
Tb -3.1633 0.9875 7.1253
Tb -2.4368 -2.2458 8.8030
Tb -0.5033 1.9639 4.6649
Tb 0.7265 -3.2333 7.1253
Tb 1.9525 -0.5460 4.6649
Tb -1.9525 0.5461 11.2634
Tb -0.7265 3.2333 8.8030
Tb 0.5033 -1.9639 11.2634
Tb 2.4368 2.2458 7.1253
Tb 3.1633 -0.9875 8.8030
Tb 1.4491 1.4179 11.2634
Pr 0.0000 0.0000 0.0000
Er -2.1899 -4.7649 6.6310
Er -5.2215 -0.4859 9.2972
Er -3.0316 4.2790 6.6310
Er 0.0000 0.0000 7.9641
Er 3.0316 -4.2790 9.2973
Er 5.2215 0.4859 6.6310
Er 2.1899 4.7649 9.2972
```

Calculated values
Relative energy among the computed polymorphs (meV per atom): 0
Mass density (g cm⁻³): 8.1
Size of the total moment (Bohr magnetons per cell): 0.0
Energy of formation from the pure elements (eV per formula unit): 4.8
Symmetry: R-3, No. 148


[6]
This record from Alexandria via LeMat-Bulk describes a relaxed structure of Tb2Pr3Er6. The functional is PBE-GGA.

```
11
Lattice="3.0854 -5.3580 0.0000 3.0854 5.3580 0.0000 -2.0923 0.0000 11.3715" Properties=species:S:1:pos:R:3 pbc="T T T"
Tb 3.0854 3.5781 0.0000
Tb 3.0854 -3.5781 0.0000
Pr -1.0462 0.0000 5.6857
Pr 2.0392 1.7597 5.6857
Pr 2.0392 -1.7597 5.6857
Er -0.0235 1.7834 8.5826
Er 1.0219 0.0000 2.7946
Er -0.0235 -1.7834 8.5826
Er 4.1019 1.7834 2.7888
Er 3.0566 0.0000 8.5769
Er 4.1019 -1.7834 2.7888
```

Calculated values
Relative energy among the computed polymorphs (meV per atom): 0
Mass density (g cm⁻³): 7.7
Size of the total moment (Bohr magnetons per cell): 0.0
Energy of formation from the pure elements (eV per formula unit): 2.3
Symmetry: C2/m, No. 12


[7]
This record from Alexandria via LeMat-Bulk describes a relaxed structure of Tb2PrEr6. The functional is PBE-GGA.

```
9
Lattice="9.1865 -1.7721 0.0000 9.1865 1.7721 0.0000 -0.0043 0.0000 8.6729" Properties=species:S:1:pos:R:3 pbc="T T T"
Tb 1.0326 0.0000 2.9169
Tb 17.3362 0.0000 5.7559
Pr 9.1865 0.0000 0.0000
Er 3.0927 0.0000 8.6701
Er 5.0952 0.0000 5.7736
Er 7.1147 0.0000 2.8963
Er 11.2540 0.0000 5.7766
Er 13.2735 0.0000 2.8993
Er 15.2761 0.0000 0.0027
```

Calculated values
Relative energy among the computed polymorphs (meV per atom): 0
Mass density (g cm⁻³): 8.6
Size of the total moment (Bohr magnetons per cell): 0.0
Energy of formation from the pure elements (eV per formula unit): 0.2
Symmetry: C2/m, No. 12


[8]
This record from Alexandria via LeMat-Bulk describes a relaxed structure of Tb4Pr7Er. The functional is PBE-GGA.

```
12
Lattice="6.3723 0.0000 0.0000 0.0003 7.3437 0.0000 2.1167 0.0078 8.8227" Properties=species:S:1:pos:R:3 pbc="T T T"
Tb 2.1186 7.3432 2.9592
Tb 3.1803 1.8265 5.8979
Tb 5.3089 5.5249 2.9247
Tb 6.3706 0.0082 5.8635
Pr 0.0000 0.0000 0.0000
Pr 2.1180 3.6747 2.9499
Pr 3.1902 5.5214 5.8836
Pr 5.2915 1.8348 8.8076
Pr 3.1977 5.5166 0.0151
Pr 5.2990 1.8301 2.9391
Pr 6.3712 3.6768 5.8727
Er 0.0001 3.6718 0.0000
```

Calculated values
Relative energy among the computed polymorphs (meV per atom): 0
Mass density (g cm⁻³): 7.2
Size of the total moment (Bohr magnetons per cell): 0.0
Energy of formation from the pure elements (eV per formula unit): 0.1
Symmetry: P-1, No. 2


[9]
This record from Alexandria via LeMat-Bulk describes a relaxed structure of Tb3Pr2Er8. The functional is PBE-GGA.

```
13
Lattice="10.3854 -3.8035 0.0000 10.3854 3.8035 0.0000 -0.0012 0.0000 5.5054" Properties=species:S:1:pos:R:3 pbc="T T T"
Tb 0.0000 0.0000 0.0000
Tb 10.3848 1.6080 2.7527
Tb 10.3848 -1.6080 2.7527
Pr 4.9884 0.0000 5.5026
Pr 15.7812 0.0000 0.0028
Er 2.6417 0.0000 2.7525
Er 8.1657 1.6199 5.5042
Er 7.0525 0.0000 2.7503
Er 12.6039 1.6199 0.0011
Er 8.1657 -1.6199 5.5042
Er 13.7170 0.0000 2.7550
Er 12.6039 -1.6199 0.0011
Er 18.1279 0.0000 2.7529
```

Calculated values
Mass density (g cm⁻³): 8.0
Size of the total moment (Bohr magnetons per cell): 0.0
Energy of formation from the pure elements (eV per formula unit): 3.2
Symmetry: C2/m, No. 12


[10]
This record from Alexandria via LeMat-Bulk describes a relaxed structure of Tb7Pr12Er. The functional is PBE-GGA.

```
20
Lattice="9.8655 5.6959 2.1008 -9.8655 5.6959 2.1008 0.0000 -11.3917 2.1008" Properties=species:S:1:pos:R:3 pbc="T T T"
Tb 0.0000 0.0000 0.0000
Tb -2.4182 -1.3961 1.8634
Tb 2.4182 -1.3961 1.8634
Tb 0.0000 2.7923 1.8634
Tb 0.0000 -2.7923 4.4390
Tb -2.4182 1.3961 4.4390
Tb 2.4182 1.3961 4.4390
Pr -4.0594 -4.3607 2.1008
Pr -5.8062 -1.3352 2.1008
Pr 0.0000 -4.0225 1.2547
Pr -3.4836 2.0112 1.2547
Pr -5.8061 1.3352 4.2016
Pr -1.7468 5.6959 2.1008
Pr 3.4836 2.0112 1.2547
Pr -3.4836 -2.0112 5.0477
Pr -4.0594 4.3607 4.2016
Pr 1.7468 5.6959 2.1008
Pr 3.4836 -2.0112 5.0477
Pr 0.0000 4.0225 5.0477
Er 0.0000 0.0000 3.1512
```

Calculated values
Relative energy among the computed polymorphs (meV per atom): 0
Mass density (g cm⁻³): 7.0
Size of the total moment (Bohr magnetons per cell): 0.0
Energy of formation from the pure elements (eV per formula unit): 4.3
Symmetry: R-3m, No. 166


[11]
This record from Alexandria via LeMat-Bulk describes a relaxed structure of TbPr5Er2. The functional is PBE-GGA.

```
16
Lattice="-4.6553 4.6553 6.3835 4.6553 -4.6553 6.3835 4.6553 4.6553 -6.3835" Properties=species:S:1:pos:R:3 pbc="T T T"
Tb 0.0000 0.0000 3.1917
Tb 0.0000 0.0000 9.5752
Pr 0.0000 0.0000 0.0000
Pr 3.2604 -1.3949 2.0887
Pr 6.0502 -1.3949 4.2948
Pr 6.0502 1.3949 2.0887
Pr 3.2604 1.3949 4.2948
Pr 0.0000 0.0000 6.3835
Pr 1.3949 3.2604 2.0887
Pr -1.3949 3.2604 4.2948
Pr -1.3949 6.0502 2.0887
Pr 1.3949 6.0502 4.2948
Er 3.2979 1.3574 0.0000
Er 3.2979 -1.3574 6.3835
Er 1.3574 6.0127 0.0000
Er 1.3574 3.2979 6.3835
```

Calculated values
Relative energy among the computed polymorphs (meV per atom): 0
Mass density (g cm⁻³): 7.2
Size of the total moment (Bohr magnetons per cell): 0.7
Energy of formation from the pure elements (eV per formula unit): 1.0
Symmetry: I4/mcm, No. 140


[12]
This record from Alexandria via LeMat-Bulk describes a relaxed structure of TbPr2Er5. The functional is PBE-GGA.

```
16
Lattice="8.0927 -4.9371 0.0000 8.0927 4.9371 0.0000 -1.0321 0.0000 6.4640" Properties=species:S:1:pos:R:3 pbc="T T T"
Tb 4.0463 2.4685 0.0000
Tb 3.5303 -2.4685 3.2320
Pr 5.8965 2.5111 5.7022
Pr 8.7407 2.5111 3.9937
Pr 6.4125 -2.5111 2.4703
Pr 9.2567 -2.5111 0.7617
Er 0.9573 0.8717 4.1899
Er 1.4733 -0.8717 0.9580
Er 4.3950 0.8671 3.0568
Er 3.8789 -0.8671 6.2887
Er 7.8346 0.5906 1.6160
Er 7.3186 -0.5906 4.8480
Er 11.2743 0.8671 0.1752
Er 10.7583 -0.8671 3.4072
Er 13.6799 0.8717 5.5060
Er 14.1960 -0.8717 2.2740
```

Calculated values
Relative energy among the computed polymorphs (meV per atom): 148
Mass density (g cm⁻³): 8.2
Size of the total moment (Bohr magnetons per cell): 0.0
Energy of formation from the pure elements (eV per formula unit): 1.4
Symmetry: C2/c, No. 15


[13]
This record from Alexandria via LeMat-Bulk describes a relaxed structure of TbPrEr2Te6. The functional is PBE-GGA.

```
10
Lattice="3.8826 2.2416 7.0283 -3.8826 2.2416 7.0283 0.0000 -4.4833 7.0283" Properties=species:S:1:pos:R:3 pbc="T T T"
Tb 0.0000 0.0000 0.0000
Pr 0.0000 0.0000 10.6151
Er 0.0000 0.0000 6.6286
Er 0.0000 0.0000 17.1231
Te -1.2808 -2.0890 8.5029
Te -2.8215 -0.1050 12.0427
Te -1.1687 2.1537 8.5029
Te 1.5016 -2.3910 12.0427
Te 2.4495 -0.0647 8.5029
Te 1.3198 2.4959 12.0427
```

Calculated values
Mass density (g cm⁻³): 6.3
Size of the total moment (Bohr magnetons per cell): 0.0
Symmetry: R3, No. 146
Formation energy (no corrections) (meV/atom): -1357


[14]
This record from Alexandria via LeMat-Bulk describes a relaxed structure of TbPrErTe3. The functional is PBE-GGA.

```
12
Lattice="8.5689 0.0000 0.0000 0.0000 4.3191 0.0000 -2.8819 0.0000 10.3644" Properties=species:S:1:pos:R:3 pbc="T T T"
Tb 1.1653 1.0798 0.9302
Tb 4.5216 3.2393 9.4341
Pr 0.4226 3.2393 8.0909
Pr 5.2644 1.0798 2.2735
Er 1.8877 3.2393 3.9229
Er 3.7992 1.0798 6.4414
Te -2.1736 1.0798 8.2107
Te 0.7791 1.0798 5.6561
Te 3.2456 3.2393 1.1255
Te 2.4414 1.0798 9.2389
Te 4.9078 3.2393 4.7082
Te 7.8606 3.2393 2.1537
```

Calculated values
Mass density (g cm⁻³): 7.4
Size of the total moment (Bohr magnetons per cell): 0.0
Symmetry: P2_1/m, No. 11
Formation energy (no corrections) (meV/atom): -1217


[15]
This record from Alexandria via LeMat-Bulk describes a relaxed structure of Tb3PrEr2Te6. The functional is PBE-GGA.

```
12
Lattice="9.5172 -2.1718 0.0000 9.5172 2.1718 0.0000 -1.8405 0.0000 8.6409" Properties=species:S:1:pos:R:3 pbc="T T T"
Tb 0.0000 0.0000 0.0000
Tb 5.2807 0.0000 5.7377
Tb 11.9133 0.0000 2.9032
Pr -0.9202 0.0000 4.3205
Er 6.0915 0.0000 1.4503
Er 11.1024 0.0000 7.1907
Te 3.0653 0.0000 0.7280
Te 2.2126 0.0000 5.1220
Te 9.0055 0.0000 2.0678
Te 8.1885 0.0000 6.5732
Te 14.9814 0.0000 3.5189
Te 14.1287 0.0000 7.9129
```

Calculated values
Mass density (g cm⁻³): 8.0
Size of the total moment (Bohr magnetons per cell): 0.0
Symmetry: C2/m, No. 12
Formation energy (no corrections) (meV/atom): -1299


[16]
This record from Alexandria via LeMat-Bulk describes a relaxed structure of Tb3Pr2ErTe6. The functional is PBE-GGA.

```
12
Lattice="9.6394 -2.1897 0.0000 9.6394 2.1897 0.0000 -1.9805 0.0000 8.6720" Properties=species:S:1:pos:R:3 pbc="T T T"
Tb 0.0000 0.0000 0.0000
Tb 4.9577 0.0000 5.7607
Tb 12.3407 0.0000 2.9112
Pr 6.0168 0.0000 1.4095
Pr 11.2816 0.0000 7.2625
Er -0.9902 0.0000 4.3360
Te 2.9305 0.0000 0.7811
Te 1.9798 0.0000 4.9618
Te 8.0868 0.0000 6.4536
Te 9.2116 0.0000 2.2184
Te 15.3186 0.0000 3.7101
Te 14.3679 0.0000 7.8909
```

Calculated values
Mass density (g cm⁻³): 7.7
Size of the total moment (Bohr magnetons per cell): 0.0
Symmetry: C2/m, No. 12
Formation energy (no corrections) (meV/atom): -1338


[17]
This record from Alexandria via LeMat-Bulk describes a relaxed structure of TbPr2ErTe6. The functional is PBE-GGA.

```
10
Lattice="3.9347 2.2717 7.0718 -3.9347 2.2717 7.0718 0.0000 -4.5434 7.0718" Properties=species:S:1:pos:R:3 pbc="T T T"
Tb 0.0000 0.0000 0.0000
Pr 0.0000 0.0000 6.5534
Pr 0.0000 0.0000 17.1552
Er 0.0000 0.0000 10.6078
Te -1.0796 -2.1656 8.7003
Te -2.5837 -0.2367 12.2116
Te -1.3356 2.0178 8.7003
Te 1.4969 -2.1192 12.2116
Te 2.4153 0.1478 8.7003
Te 1.0869 2.3559 12.2116
```

Calculated values
Mass density (g cm⁻³): 6.0
Size of the total moment (Bohr magnetons per cell): 0.0
Symmetry: R3, No. 146
Formation energy (no corrections) (meV/atom): -1369


[18]
This record from Alexandria via LeMat-Bulk describes a relaxed structure of TbPr3Er2Te6. The functional is PBE-GGA.

```
12
Lattice="9.7481 -2.1848 0.0000 9.7481 2.1848 0.0000 -2.3861 0.0000 8.6874" Properties=species:S:1:pos:R:3 pbc="T T T"
Tb 0.0000 0.0000 0.0000
Pr -1.1931 0.0000 4.3437
Pr 6.1383 0.0000 1.4604
Pr 10.9718 0.0000 7.2269
Er 4.9214 0.0000 5.8133
Er 12.1887 0.0000 2.8740
Te 2.9895 0.0000 0.8126
Te 1.9714 0.0000 4.9733
Te 7.8518 0.0000 6.5715
Te 9.2583 0.0000 2.1158
Te 15.1387 0.0000 3.7140
Te 14.1206 0.0000 7.8747
```

Calculated values
Mass density (g cm⁻³): 7.5
Size of the total moment (Bohr magnetons per cell): 0.0
Symmetry: C2/m, No. 12
Formation energy (no corrections) (meV/atom): -1350